No. 1
# K2InSb2

K2InSb2 after structural relaxation (GGA-PBE, Alexandria).

Cell lengths 9.024, 9.024, 9.024 Å; angles 130.12, 71.63, 132.12 degrees
Sites, in units of the cell vectors:
K: 0.143 0.181 0.324
K: 0.357 0.681 0.038
K: 0.643 0.319 0.962
K: 0.857 0.819 0.676
In: 0.250 0.750 0.500
In: 0.750 0.250 0.500
Sb: 0.110 0.705 0.815
Sb: 0.390 0.205 0.595
Sb: 0.610 0.795 0.405
Sb: 0.890 0.295 0.185

Values from the calculation:
Volume (Å³/cell): 408
Fermi-level density of states (states/eV/atom): 0.864
ΔE to the lowest computed polymorph (eV/atom): 0.075
Formation energy (no corrections) (eV/atom): -0.29

No. 2
# TmScZnRh

TmScZnRh after structural relaxation (GGA-PBE, Alexandria).

Cell lengths 4.759, 4.759, 4.759 Å; angles 60.00, 60.00, 60.00 degrees
Sites, in units of the cell vectors:
Tm: 0.000 0.000 0.000
Sc: 0.500 0.500 0.500
Zn: 0.250 0.250 0.250
Rh: 0.750 0.750 0.750

Values from the calculation:
Volume (Å³/cell): 76
Fermi-level density of states (states/eV/atom): 0.486
ΔE to the lowest computed polymorph (eV/atom): 0.024
Calculated formation energy (meV/atom): -646

No. 3
# Tm2MnCo

Tm2MnCo after structural relaxation (GGA-PBE, Alexandria).

Cell lengths 3.338, 3.338, 6.899 Å; angles 90.00, 90.00, 90.00 degrees
Sites, in units of the cell vectors:
Tm: 0.000 0.000 0.234
Tm: 0.000 0.000 0.766
Mn: 0.500 0.500 0.500
Co: 0.500 0.500 0.000

Values from the calculation:
Volume (Å³/cell): 77
Fermi-level density of states (states/eV/atom): 0.958
ΔE to the lowest computed polymorph (eV/atom): 0.000
Calculated formation energy (meV/atom): -22

No. 4
# BaCoOs3

BaCoOs3 after structural relaxation (GGA-PBE, Alexandria).

Cell lengths 4.629, 4.629, 4.629 Å; angles 90.00, 90.00, 90.00 degrees
Sites, in units of the cell vectors:
Ba: 0.000 0.000 0.000
Co: 0.500 0.500 0.500
Os: 0.000 0.500 0.500
Os: 0.500 0.000 0.500
Os: 0.500 0.500 0.000

Values from the calculation:
Volume (Å³/cell): 99
Fermi-level density of states (states/eV/atom): 1.748
ΔE to the lowest computed polymorph (eV/atom): 0.000
Calculated formation energy (meV/atom): 1568

No. 5
# Cd3Rh

Cd3Rh after structural relaxation (GGA-PBE, Alexandria).

Cell lengths 5.632, 5.632, 5.632 Å; angles 147.27, 63.23, 127.53 degrees
Sites, in units of the cell vectors:
Cd: 0.000 0.000 0.000
Cd: 0.151 0.385 0.766
Cd: 0.618 0.385 0.234
Rh: 0.526 0.026 0.500

Values from the calculation:
Volume (Å³/cell): 76
Fermi-level density of states (states/eV/atom): 0.356
Calculated formation energy (meV/atom): -68

No. 6
# CaPa2SbO8

CaPa2SbO8 after structural relaxation (GGA-PBE, Alexandria).

Cell lengths 5.045, 7.132, 5.049 Å; angles 90.00, 90.76, 90.00 degrees
Sites, in units of the cell vectors:
Ca: 0.000 0.000 0.000
Pa: 0.500 0.250 0.500
Pa: 0.500 0.750 0.500
Sb: 0.000 0.500 0.000
O: 0.197 0.273 0.199
O: 0.197 0.727 0.199
O: 0.307 0.500 0.695
O: 0.323 0.000 0.679
O: 0.677 0.000 0.321
O: 0.693 0.500 0.305
O: 0.803 0.273 0.801
O: 0.803 0.727 0.801

Values from the calculation:
Volume (Å³/cell): 182
Fermi-level density of states (states/eV/atom): 0.287
Formation energy (no corrections) (eV/atom): -2.92

No. 7
# KNa3Hg2

KNa3Hg2 after structural relaxation (GGA-PBE, Alexandria).

Cell lengths 11.654, 11.654, 5.220 Å; angles 90.00, 90.00, 120.00 degrees
Sites, in units of the cell vectors:
K: 0.000 0.000 0.000
K: 0.333 0.667 0.500
K: 0.667 0.333 0.500
Na: 0.000 0.299 0.500
Na: 0.000 0.500 0.000
Na: 0.000 0.701 0.500
Na: 0.299 0.000 0.500
Na: 0.299 0.299 0.500
Na: 0.500 0.000 0.000
Na: 0.500 0.500 0.000
Na: 0.701 0.000 0.500
Na: 0.701 0.701 0.500
Hg: 0.185 0.369 0.000
Hg: 0.185 0.815 0.000
Hg: 0.369 0.185 0.000
Hg: 0.631 0.815 0.000
Hg: 0.815 0.185 0.000
Hg: 0.815 0.631 0.000

Values from the calculation:
Volume (Å³/cell): 614
Fermi-level density of states (states/eV/atom): 0.483
Calculated formation energy (meV/atom): -167

No. 8
# Mg5CdHg4

Mg5CdHg4 after structural relaxation (GGA-PBE, Alexandria).

Cell lengths 3.525, 3.525, 17.261 Å; angles 90.00, 90.00, 90.00 degrees
Sites, in units of the cell vectors:
Mg: 0.000 0.000 0.000
Mg: 0.000 0.000 0.199
Mg: 0.000 0.000 0.396
Mg: 0.000 0.000 0.604
Mg: 0.000 0.000 0.801
Cd: 0.500 0.500 0.500
Hg: 0.500 0.500 0.100
Hg: 0.500 0.500 0.300
Hg: 0.500 0.500 0.700
Hg: 0.500 0.500 0.900

Values from the calculation:
Volume (Å³/cell): 214
Fermi-level density of states (states/eV/atom): 0.299
Calculated formation energy (meV/atom): -193

No. 9
# Y5Sc3

Y5Sc3 after structural relaxation (GGA-PBE, Alexandria).

Cell lengths 4.915, 4.915, 9.697 Å; angles 90.00, 90.00, 90.00 degrees
Sites, in units of the cell vectors:
Y: 0.000 0.000 0.000
Y: 0.000 0.000 0.475
Y: 0.000 0.500 0.743
Y: 0.500 0.000 0.743
Y: 0.500 0.500 0.475
Sc: 0.000 0.500 0.232
Sc: 0.500 0.000 0.232
Sc: 0.500 0.500 0.001

Values from the calculation:
Volume (Å³/cell): 234
Fermi-level density of states (states/eV/atom): 1.739
Calculated formation energy (meV/atom): 57

No. 10
# BiPt2Rh

BiPt2Rh after structural relaxation (GGA-PBE, Alexandria).

Cell lengths 10.182, 10.182, 10.182 Å; angles 157.81, 157.81, 31.59 degrees
Sites, in units of the cell vectors:
Bi: 0.000 0.000 0.000
Bi: 0.750 0.250 0.500
Pt: 0.141 0.625 0.016
Pt: 0.375 0.391 0.516
Pt: 0.609 0.125 0.984
Pt: 0.875 0.859 0.484
Rh: 0.250 0.750 0.500
Rh: 0.500 0.500 0.000

Values from the calculation:
Volume (Å³/cell): 151
Fermi-level density of states (states/eV/atom): 0.700
Calculated formation energy (meV/atom): 94

No. 11
# HoTm2Sc3P6

HoTm2Sc3P6 after structural relaxation (GGA-PBE, Alexandria).

Cell lengths 6.691, 6.691, 6.675 Å; angles 99.61, 99.61, 120.00 degrees
Sites, in units of the cell vectors:
Ho: 0.000 0.000 0.000
Tm: 0.333 0.667 0.000
Tm: 0.667 0.333 0.000
Sc: 0.166 0.834 0.500
Sc: 0.500 0.500 0.500
Sc: 0.834 0.166 0.500
P: 0.087 0.422 0.262
P: 0.247 0.247 0.738
P: 0.422 0.087 0.262
P: 0.578 0.913 0.738
P: 0.753 0.753 0.262
P: 0.913 0.578 0.738

Values from the calculation:
Volume (Å³/cell): 244
Fermi-level density of states (states/eV/atom): 0.171
Calculated formation energy (meV/atom): -1539

No. 12
# NiBi

NiBi after structural relaxation (GGA-PBE, Alexandria).

Cell lengths 5.544, 7.186, 8.310 Å; angles 90.00, 90.00, 90.00 degrees
Sites, in units of the cell vectors:
Ni: 0.016 0.166 0.116
Ni: 0.240 0.971 0.365
Ni: 0.260 0.029 0.865
Ni: 0.484 0.834 0.616
Ni: 0.516 0.334 0.884
Ni: 0.740 0.529 0.635
Ni: 0.760 0.471 0.135
Ni: 0.984 0.666 0.384
Bi: 0.002 0.308 0.404
Bi: 0.025 0.372 0.860
Bi: 0.475 0.628 0.360
Bi: 0.498 0.692 0.904
Bi: 0.502 0.192 0.596
Bi: 0.525 0.128 0.140
Bi: 0.975 0.872 0.640
Bi: 0.998 0.808 0.096

Values from the calculation:
Volume (Å³/cell): 331
Fermi-level density of states (states/eV/atom): 0.685
Calculated formation energy (meV/atom): 98

No. 13
# ScReIr2

ScReIr2 after structural relaxation (GGA-PBE, Alexandria).

Cell lengths 2.810, 2.810, 8.048 Å; angles 90.00, 90.00, 90.00 degrees
Sites, in units of the cell vectors:
Sc: 0.000 0.000 0.000
Re: 0.500 0.500 0.718
Ir: 0.000 0.000 0.495
Ir: 0.500 0.500 0.250

Values from the calculation:
Volume (Å³/cell): 64
Fermi-level density of states (states/eV/atom): 0.877
ΔE to the lowest computed polymorph (eV/atom): 0.268
Calculated formation energy (meV/atom): -187

No. 14
# Mg5CuCl12

Mg5CuCl12 after structural relaxation (GGA-PBE, Alexandria).

Cell lengths 6.314, 6.314, 13.107 Å; angles 90.07, 90.07, 119.96 degrees
Sites, in units of the cell vectors:
Mg: 0.000 0.000 0.000
Mg: 0.166 0.834 0.500
Mg: 0.333 0.667 0.000
Mg: 0.667 0.333 0.000
Mg: 0.834 0.166 0.500
Cu: 0.500 0.500 0.500
Cl: 0.001 0.667 0.105
Cl: 0.172 0.172 0.604
Cl: 0.174 0.500 0.396
Cl: 0.333 0.999 0.895
Cl: 0.334 0.334 0.105
Cl: 0.500 0.174 0.396
Cl: 0.500 0.826 0.604
Cl: 0.666 0.666 0.895
Cl: 0.667 0.001 0.105
Cl: 0.826 0.500 0.604
Cl: 0.828 0.828 0.396
Cl: 0.999 0.333 0.895

Values from the calculation:
Volume (Å³/cell): 453
Fermi-level density of states (states/eV/atom): 0.393
Formation energy (no corrections) (eV/atom): -1.61

No. 15
# PrZn5Ag7

PrZn5Ag7 after structural relaxation (GGA-PBE, Alexandria).

Cell lengths 7.152, 7.152, 7.152 Å; angles 136.77, 98.01, 97.59 degrees
Sites, in units of the cell vectors:
Pr: 0.000 0.000 0.000
Zn: 0.006 0.004 0.502
Zn: 0.006 0.504 0.002
Zn: 0.223 0.723 0.500
Zn: 0.502 0.004 0.998
Zn: 0.502 0.504 0.498
Ag: 0.217 0.506 0.711
Ag: 0.345 0.345 0.000
Ag: 0.350 0.001 0.348
Ag: 0.650 0.650 0.000
Ag: 0.653 0.001 0.652
Ag: 0.781 0.281 0.500
Ag: 0.795 0.506 0.289

Values from the calculation:
Volume (Å³/cell): 233
Fermi-level density of states (states/eV/atom): 0.351
Calculated formation energy (meV/atom): -151

No. 16
# CoSiAg2

CoSiAg2 after structural relaxation (GGA-PBE, Alexandria).

Cell lengths 2.716, 2.716, 8.538 Å; angles 90.00, 90.00, 90.00 degrees
Sites, in units of the cell vectors:
Co: 0.000 0.000 0.000
Si: 0.000 0.000 0.500
Ag: 0.500 0.500 0.237
Ag: 0.500 0.500 0.763

Values from the calculation:
Volume (Å³/cell): 63
Fermi-level density of states (states/eV/atom): 0.768
Formation energy (no corrections) (eV/atom): 0.42

No. 17
# SrOs

SrOs after structural relaxation (GGA-PBE, Alexandria).

Cell lengths 4.961, 4.961, 4.961 Å; angles 60.00, 60.00, 60.00 degrees
Sites, in units of the cell vectors:
Sr: 0.125 0.125 0.125
Sr: 0.875 0.875 0.875
Os: 0.375 0.375 0.375
Os: 0.625 0.625 0.625

Values from the calculation:
Volume (Å³/cell): 86
Fermi-level density of states (states/eV/atom): 1.534
Calculated formation energy (meV/atom): 1091

No. 18
# MgAs3Br

MgAs3Br after structural relaxation (GGA-PBE, Alexandria).

Cell lengths 5.055, 5.055, 5.055 Å; angles 90.00, 90.00, 90.00 degrees
Sites, in units of the cell vectors:
Mg: 0.000 0.000 0.000
As: 0.000 0.000 0.500
As: 0.000 0.500 0.000
As: 0.500 0.000 0.000
Br: 0.500 0.500 0.500

Values from the calculation:
Volume (Å³/cell): 129
Fermi-level density of states (states/eV/atom): 1.647
ΔE to the lowest computed polymorph (eV/atom): 0.000
Formation energy (no corrections) (eV/atom): 0.72

No. 19
# La3Se5

La3Se5 after structural relaxation (GGA-PBE, Alexandria).

Cell lengths 8.532, 8.532, 8.868 Å; angles 99.97, 99.97, 129.77 degrees
Sites, in units of the cell vectors:
La: 0.000 0.000 0.000
La: 0.271 0.771 0.797
La: 0.297 0.297 0.593
La: 0.498 0.802 0.297
La: 0.771 0.271 0.797
La: 0.802 0.498 0.297
Se: 0.105 0.721 0.084
Se: 0.236 0.439 0.922
Se: 0.317 0.933 0.509
Se: 0.388 0.388 0.296
Se: 0.439 0.236 0.922
Se: 0.610 0.814 0.671
Se: 0.721 0.105 0.084
Se: 0.814 0.610 0.671
Se: 0.899 0.899 0.297
Se: 0.933 0.317 0.509

Values from the calculation:
Volume (Å³/cell): 453
Fermi-level density of states (states/eV/atom): 0.580
ΔE to the lowest computed polymorph (eV/atom): 0.093
Formation energy (no corrections) (eV/atom): -1.81

No. 20
# BaCdRe2

BaCdRe2 after structural relaxation (GGA-PBE, Alexandria).

Cell lengths 5.975, 5.975, 2.790 Å; angles 90.00, 90.00, 120.69 degrees
Sites, in units of the cell vectors:
Ba: 0.000 0.000 0.000
Cd: 0.500 0.500 0.000
Re: 0.000 0.500 0.500
Re: 0.500 0.000 0.500

Values from the calculation:
Volume (Å³/cell): 86
Fermi-level density of states (states/eV/atom): 0.925
Calculated formation energy (meV/atom): 1474

no.,total magnetic moment (μB per formula unit)
1,0.9
2,0.0
3,3.2
4,0.0
5,0.0
6,0.0
7,0.0
8,0.0
9,0.0
10,0.0
11,0.0
12,0.0
13,0.0
14,1.0
15,0.0
16,1.9
17,0.0
18,0.0
19,0.0
20,0.0